[1]
# Ti3Bi2P6O24 | Alexandria | PBEsol | relaxed
data_Ti3Bi2P6O24
_symmetry_space_group_name_H-M 'P 1'
_symmetry_Int_Tables_number 1
_cell_length_a 8.438
_cell_length_b 8.438
_cell_length_c 8.896
_cell_angle_alpha 61.69
_cell_angle_beta 61.69
_cell_angle_gamma 60.00
loop_
_symmetry_equiv_pos_as_xyz
'x,y,z'
loop_
_atom_site_label
_atom_site_fract_x
_atom_site_fract_y
_atom_site_fract_z
O1 0.745 0.688 0.177
O2 0.471 0.312 0.116
O3 0.057 0.966 0.269
O4 0.418 0.302 0.433
O5 0.688 0.390 0.177
O6 0.966 0.708 0.269
O7 0.312 0.101 0.116
O8 0.025 0.631 0.567
O9 0.396 0.592 0.762
O10 0.311 0.917 0.782
O11 0.302 0.846 0.433
O12 0.846 0.418 0.433
O13 0.914 0.578 0.893
O14 0.592 0.249 0.762
O15 0.578 0.615 0.893
O16 0.708 0.057 0.269
O17 0.615 0.914 0.893
O18 0.390 0.745 0.177
O19 0.777 0.025 0.567
O20 0.101 0.471 0.116
O21 0.249 0.396 0.762
O22 0.631 0.777 0.567
O23 0.917 0.990 0.782
O24 0.990 0.311 0.782
Ti1 0.339 0.339 0.984
Ti2 0.855 0.855 0.436
Ti3 0.656 0.656 0.033
Bi1 0.017 0.017 0.949
Bi2 0.496 0.496 0.513
P1 0.563 0.266 0.257
P2 0.913 0.563 0.257
P3 0.266 0.913 0.257
P4 0.731 0.043 0.750
P5 0.043 0.477 0.750
P6 0.477 0.731 0.750
# - formation energy (no corrections) (eV per atom) = -2.30

=====

[2]
# SrZrAs2 | Alexandria | PBEsol | relaxed
data_SrZrAs2
_symmetry_space_group_name_H-M 'P 1'
_symmetry_Int_Tables_number 1
_cell_length_a 3.980
_cell_length_b 3.980
_cell_length_c 7.380
_cell_angle_alpha 74.36
_cell_angle_beta 74.36
_cell_angle_gamma 60.00
loop_
_symmetry_equiv_pos_as_xyz
'x,y,z'
loop_
_atom_site_label
_atom_site_fract_x
_atom_site_fract_y
_atom_site_fract_z
As1 0.238 0.238 0.286
As2 0.762 0.762 0.714
Zr1 0.500 0.500 0.500
Sr1 0.000 0.000 0.000
# - DFT formation energy (eV/atom) = -1.1694

=====

[3]
# CrInTe | Alexandria | PBEsol | relaxed
data_CrInTe
_symmetry_space_group_name_H-M 'P 1'
_symmetry_Int_Tables_number 1
_cell_length_a 3.202
_cell_length_b 3.202
_cell_length_c 6.383
_cell_angle_alpha 104.53
_cell_angle_beta 104.53
_cell_angle_gamma 90.00
loop_
_symmetry_equiv_pos_as_xyz
'x,y,z'
loop_
_atom_site_label
_atom_site_fract_x
_atom_site_fract_y
_atom_site_fract_z
In1 0.641 0.641 0.281
Te1 0.372 0.372 0.744
Cr1 0.988 0.988 0.975
# - formation energy (no corrections) (eV per atom) = 0.26

=====

[4]
# BeCdOF2 | Alexandria | PBEsol | relaxed
data_BeCdOF2
_symmetry_space_group_name_H-M 'P 1'
_symmetry_Int_Tables_number 1
_cell_length_a 3.357
_cell_length_b 3.357
_cell_length_c 4.141
_cell_angle_alpha 90.00
_cell_angle_beta 90.00
_cell_angle_gamma 90.00
loop_
_symmetry_equiv_pos_as_xyz
'x,y,z'
loop_
_atom_site_label
_atom_site_fract_x
_atom_site_fract_y
_atom_site_fract_z
Be1 0.000 0.000 0.000
F1 0.000 0.500 0.000
F2 0.500 0.000 0.000
Cd1 0.500 0.500 0.500
O1 0.000 0.000 0.500
# - formation energy (no corrections) (eV per atom) = -2.08

=====

[5]
# Zr2AsRu | Alexandria | PBEsol | relaxed
data_Zr2AsRu
_symmetry_space_group_name_H-M 'P 1'
_symmetry_Int_Tables_number 1
_cell_length_a 3.548
_cell_length_b 4.056
_cell_length_c 5.314
_cell_angle_alpha 90.00
_cell_angle_beta 109.50
_cell_angle_gamma 90.00
loop_
_symmetry_equiv_pos_as_xyz
'x,y,z'
loop_
_atom_site_label
_atom_site_fract_x
_atom_site_fract_y
_atom_site_fract_z
As1 0.708 0.000 0.416
Zr1 0.986 0.000 0.972
Zr2 0.271 0.500 0.542
Ru1 0.537 0.500 0.075
# - DFT formation energy (eV/atom) = -0.8041

=====

[6]
# Pt2SeBr | Alexandria | PBEsol | relaxed
data_Pt2SeBr
_symmetry_space_group_name_H-M 'P 1'
_symmetry_Int_Tables_number 1
_cell_length_a 3.233
_cell_length_b 3.233
_cell_length_c 6.740
_cell_angle_alpha 90.00
_cell_angle_beta 90.00
_cell_angle_gamma 90.00
loop_
_symmetry_equiv_pos_as_xyz
'x,y,z'
loop_
_atom_site_label
_atom_site_fract_x
_atom_site_fract_y
_atom_site_fract_z
Br1 0.500 0.500 0.500
Pt1 0.000 0.000 0.786
Pt2 0.000 0.000 0.214
Se1 0.500 0.500 0.000
# - formation energy (no corrections) (eV per atom) = 0.43

=====

So what do the calculations give for final energy? Going down the list: -7.851; -6.455; -5.324; -4.944; -9.169; -4.481 eV/atom.